DFT (GGA-PBE) results for an optimized crystal structure of Pm2Nd2Ge.

The structure belongs to space group I4/mmm (No. 139); the cell edges are 4.263, 4.263 and 18.186 Å and the angles 90.00°, 90.00° and 90.00°. The asymmetric unit holds Pm at (0.000, 0.000, 0.081), Nd at (0.000, 0.500, 0.250) and Ge at (0.000, 0.000, 0.500).

The energy is -4.47 eV/atom. For the formation energy, the calculation gives 25.17 kJ per mole of atoms. The total magnetic moment comes out at 0.0 μB per formula unit. As for the crystal system: tetragonal.